Material: KMnIO2
Method: DFT, PBE+U
State: relaxed

Calculated values
As for the space group: P4/mmm, No. 123. The total DFT energy (no corrections) is -23.43 eV for the cell shown. The density of states at the Fermi level comes out at 2.6 states/eV/cell. As for the energy above the lowest structure with this stoichiometry: 0.00 kcal/mol of atoms.

Unit cell a=4.2624 b=4.2624 c=5.8151 alpha=90.00 beta=90.00 gamma=90.00
Fractional positions:
O  0.5000  0.0000  0.0000
O  0.0000  0.5000  0.0000
K  0.5000  0.5000  0.5000
I  0.0000  0.0000  0.5000
Mn  0.0000  0.0000  0.0000